Entry 1:
{"formula": "K3PmU2Te6", "functional": "PBE", "state": "relaxed", "magnetic_moment_mub_per_fu": 6.01, "raw_formation_energy_mev_per_atom": -1031, "volume_a3_per_cell": 442, "spacegroup": "C2/m (12)", "cell": [[7.8484, -0.0017, 0.0006], [-3.9238, 6.7972, 0.0006], [-1.3080, -2.2648, 8.2921]], "species": ["K", "K", "K", "Pm", "U", "U", "Te", "Te", "Te", "Te", "Te", "Te"], "frac_coords": [[0.1653, 0.8347, 0.5000], [0.8347, 0.1653, 0.5000], [0.5000, 0.5000, 0.5000], [0.0000, 0.0000, 0.0000], [0.3330, 0.6670, 0.0000], [0.6670, 0.3330, 0.0000], [0.9288, 0.5918, 0.7870], [0.7335, 0.7335, 0.2123], [0.0712, 0.4082, 0.2130], [0.5918, 0.9288, 0.7870], [0.2665, 0.2665, 0.7877], [0.4082, 0.0712, 0.2130]]}

***

Entry 2:
{"formula": "AcNiS", "functional": "PBE", "state": "relaxed", "magnetic_moment_mub_per_fu": 0.00, "raw_formation_energy_mev_per_atom": -1075, "volume_a3_per_cell": 61, "de_polymorph_kj_per_mol_fu": 0, "spacegroup": "P-6m2 (187)", "cell": [[-0.7023, 3.7941, -2.0504], [0.2886, -1.8624, -3.5450], [-3.5669, 0.3205, 1.8147]], "species": ["Ni", "Ac", "S"], "frac_coords": [[0.1667, 0.3333, 0.6667], [0.6667, 0.6667, 0.3333], [0.1667, 0.0000, 0.0000]]}

***

Entry 3:
{"formula": "MnZnRh5", "functional": "PBE", "state": "relaxed", "magnetic_moment_mub_per_fu": 2.66, "volume_a3_per_cell": 104, "spacegroup": "P4/mmm (123)", "formation_enthalpy_0k_ev_per_fu": 0.4, "cell": [[-0.9416, 3.3726, 1.6779], [-3.4797, -0.1162, -1.7190], [-2.5731, -3.4251, 5.4402]], "species": ["Mn", "Zn", "Rh", "Rh", "Rh", "Rh", "Rh"], "frac_coords": [[0.5000, 0.5000, 0.5000], [0.0000, 0.0000, 0.0000], [0.5000, 0.0000, 0.2406], [0.0000, 0.5000, 0.2406], [0.0000, 0.0000, 0.5000], [0.0000, 0.5000, 0.7594], [0.5000, 0.0000, 0.7594]]}